# Sr6Ag3Au, relaxed, DFT PBE
# * energy relative to the elements: -0.31 eV/atom
# * size of the total moment: 0.00 Bohr magnetons per cell
# * electronic total energy: -2.5058 eV/atom
# * DOS(E_F): 0.75 states/eV/atom
data_Sr6Ag3Au
_chemical_formula_sum 'Sr12 Ag6 Au2'
_cell_length_a 12.0931
_cell_length_b 4.4868
_cell_length_c 14.6274
_cell_angle_alpha 90.00
_cell_angle_beta 110.97
_cell_angle_gamma 90.00
_symmetry_space_group_name_H-M 'P 1 21/m 1'
_symmetry_Int_Tables_number 11
_symmetry_space_group_name_Hall '-P 2yb'
loop_
_atom_site_label
_atom_site_fract_x
_atom_site_fract_y
_atom_site_fract_z
_atom_site_occupancy
Sr1 0.0155 0.2500 0.3829 1
Sr2 0.0720 0.2500 0.9036 1
Sr3 0.2576 0.7500 0.3264 1
Sr4 0.3420 0.7500 0.7975 1
Sr5 0.3461 0.7500 0.1041 1
Sr6 0.4007 0.2500 0.5815 1
Ag1 0.1513 0.2500 0.1530 1
Ag2 0.1924 0.7500 0.5299 1
Ag3 0.4190 0.2500 0.9716 1
Au1 0.4240 0.2500 0.2784 1